1.
Density functional theory data (PBE) for HfCr3Hg after structural relaxation.

Summary:
* ρ: 7.37 g/cm³
* polymorph energy (0 for the lowest one): 22.1 meV/atom
* crystal system: cubic

Cell: 4.9399 4.9399 4.9399 Å, 90.00 90.00 90.00°
Last column: nearest neighbours and their distance in Å.
Atoms (fractional coordinates):
Cr1 0.0000 0.5000 0.0000  2 Hg 2.47
Cr2 0.5000 0.0000 0.0000  2 Hg 2.47
Cr3 0.0000 0.0000 0.5000  2 Hg 2.47
Hf1 0.5000 0.5000 0.5000  12 Cr 3.49
Hg1 0.0000 0.0000 0.0000  6 Cr 2.47


2.
Density functional theory data (PBE) for Zn2CdGa6 after structural relaxation.

Summary:
* ρ: 6.61 g/cm³
* polymorph energy (0 for the lowest one): 0.0 meV/atom
* crystal system: monoclinic

Cell: 2.9209 6.5062 9.9118 Å, 65.15 81.53 77.03°
Last column: nearest neighbours and their distance in Å.
Atoms (fractional coordinates):
Ga1 0.6672 0.2242 0.4413  3 Zn 2.87-2.97, 9 Ga 2.92-2.99
Ga2 0.3328 0.7758 0.5587  3 Zn 2.87-2.97, 9 Ga 2.92-2.99
Ga3 0.0015 0.6645 0.3324  2 Zn 2.87, 9 Ga 2.92-3.11, 1 Cd 3.09
Ga4 0.9985 0.3355 0.6676  2 Zn 2.87, 9 Ga 2.92-3.11, 1 Cd 3.09
Ga5 0.3184 0.4832 0.8799  7 Ga 2.85-2.98, 2 Zn 2.88, 2 Cd 3.16
Ga6 0.6816 0.5168 0.1201  7 Ga 2.85-2.98, 2 Zn 2.88, 2 Cd 3.16
Cd1 0.0000 0.0000 0.0000  2 Cd 2.92, 4 Zn 2.99, 6 Ga 3.09-3.16
Zn1 0.6635 0.9106 0.7623  7 Ga 2.87-2.97, 2 Zn 2.92, 2 Cd 2.99
Zn2 0.3365 0.0894 0.2377  7 Ga 2.87-2.97, 2 Zn 2.92, 2 Cd 2.99


3.
Density functional theory data (PBE) for Ca2CdHg after structural relaxation.

Summary:
* ρ: 5.50 g/cm³
* polymorph energy (0 for the lowest one): 133.2 meV/atom
* crystal system: tetragonal

Cell: 4.1833 4.1834 6.7884 Å, 90.00 90.00 90.00°
Last column: nearest neighbours and their distance in Å.
Atoms (fractional coordinates):
Ca1 0.5000 0.5000 0.2989  4 Cd 3.20, 2 Hg 3.22-3.57
Ca2 0.0000 0.0000 0.9481  1 Cd 3.18, 4 Hg 3.19
Hg1 0.5000 0.5000 0.7728  5 Ca 3.19-3.22, 4 Cd 3.56
Cd1 0.0000 0.0000 0.4802  5 Ca 3.18-3.20


Table of DFT formation energy (eV/atom), in record order: 1.65 0.03 -0.32